NdPuCoPt: optimized geometry, PBE.

Calculated values
spin magnetization = 19.0 Bohr magnetons per cell
ΔH_f (0 K) = -0.35 eV/atom
density of states at the Fermi level = 45.26 states/eV per cell
E_tot = -134.58 eV for the cell shown

Lattice parameters (Å, degrees): 6.9889 6.9889 6.9889 90.00 90.00 90.00
With the nearest neighbours (Å) after each atom.
Space group F-43m (No. 216)
Asymmetric unit:
Nd 0.0000 0.0000 0.0000 [4 per cell]  4 Co 3.03, 4 Pt 3.03
Pu 0.0000 0.0000 0.5000 [4 per cell]  4 Co 3.03, 4 Pt 3.03
Co 0.2500 0.2500 0.7500 [4 per cell]  4 Nd 3.03, 4 Pu 3.03
Pt 0.2500 0.2500 0.2500 [4 per cell]  4 Nd 3.03, 4 Pu 3.03